# 1
Entry from Alexandria via LeMat-Bulk: a relaxed Cd4MoW3O16 crystal (PBE with a Hubbard U).

Cell lengths 7.8734, 7.8734, 5.1904 Å; angles 88.90, 88.90, 99.44 degrees
With the nearest neighbours (Å) after each atom.
Fractional positions:
Cd: 0.5918 0.9027 0.4986  6 O 2.24-2.47
Cd: 0.0973 0.4082 0.5014  6 O 2.24-2.47
Cd: 0.4069 0.0920 0.0018  6 O 2.27-2.43
Cd: 0.9080 0.5931 0.9982  6 O 2.27-2.43
Mo: 0.5880 0.4120 0.5000  4 O 1.80-1.96
W: 0.4154 0.5846 0.0000  4 O 1.84-1.95
W: 0.9146 0.0854 0.0000  4 O 1.83-1.96
W: 0.0838 0.9162 0.5000  4 O 1.83-1.96
O: 0.4390 0.8052 0.8659  1 W 1.84
O: 0.9387 0.3053 0.8658  1 W 1.83
O: 0.6947 0.0613 0.1342  1 W 1.83
O: 0.1948 0.5610 0.1341  1 W 1.84
O: 0.5612 0.1961 0.6327  1 Mo 1.80
O: 0.0591 0.6957 0.6315  1 W 1.83
O: 0.3043 0.9409 0.3685  1 W 1.83
O: 0.8039 0.4388 0.3673  1 Mo 1.80
O: 0.1485 0.0519 0.8066  2 W 1.96-2.14
O: 0.6489 0.5508 0.8034  1 Mo 1.96, 1 W 2.14
O: 0.4492 0.3511 0.1966  1 Mo 1.96, 1 W 2.14
O: 0.9481 0.8515 0.1934  2 W 1.96-2.14
O: 0.8502 0.9495 0.6938  2 W 1.96-2.14
O: 0.3506 0.4476 0.6979  1 W 1.95, 1 Mo 2.18
O: 0.5524 0.6494 0.3021  1 W 1.95, 1 Mo 2.18
O: 0.0505 0.1498 0.3062  2 W 1.96-2.14

Properties
N(E_F): 0.000 states/eV per atom
E: -6.33 eV/atom
Theoretical density: 7.08 g/cm3

# 2
Entry from Alexandria via LeMat-Bulk: a relaxed Cd4Mo3WO16 crystal (PBE with a Hubbard U).

Cell lengths 5.2579, 5.2579, 11.3941 Å; angles 90.00, 90.00, 90.00 degrees
With the nearest neighbours (Å) after each atom.
Fractional positions:
Cd: 0.0000 0.5000 0.7498  8 O 2.43-2.46
Cd: 0.5000 0.0000 0.2502  8 O 2.43-2.46
Cd: 0.5000 0.5000 0.0000  8 O 2.45-2.46
Cd: 0.0000 0.0000 0.5000  8 O 2.45
Mo: 0.5000 0.0000 0.7498  4 O 1.81
Mo: 0.0000 0.5000 0.2502  4 O 1.81
Mo: 0.0000 0.0000 0.0000  4 O 1.81
W: 0.5000 0.5000 0.5000  4 O 1.83
O: 0.3432 0.2423 0.8366  1 Mo 1.81
O: 0.8404 0.7413 0.3369  1 Mo 1.81
O: 0.6568 0.7577 0.8366  1 Mo 1.81
O: 0.1596 0.2587 0.3369  1 Mo 1.81
O: 0.2442 0.1559 0.0863  1 Mo 1.81
O: 0.7464 0.6588 0.5871  1 W 1.83
O: 0.7558 0.8441 0.0863  1 Mo 1.81
O: 0.2536 0.3412 0.5871  1 W 1.83
O: 0.1559 0.7558 0.9137  1 Mo 1.81
O: 0.6588 0.2536 0.4129  1 W 1.83
O: 0.8441 0.2442 0.9137  1 Mo 1.81
O: 0.3412 0.7464 0.4129  1 W 1.83
O: 0.2587 0.8404 0.6631  1 Mo 1.81
O: 0.7577 0.3432 0.1634  1 Mo 1.81
O: 0.7413 0.1596 0.6631  1 Mo 1.81
O: 0.2423 0.6568 0.1634  1 Mo 1.81

Properties
N(E_F): 0.000 states/eV per atom
E: -6.15 eV/atom
Theoretical density: 6.21 g/cm3

# 3
Entry from Alexandria via LeMat-Bulk: a relaxed YCdMo2O8 crystal (PBE with a Hubbard U).

Cell lengths 5.2437, 5.2437, 6.7574 Å; angles 112.83, 112.83, 90.00 degrees
With the nearest neighbours (Å) after each atom.
Fractional positions:
Y: 0.7500 0.2500 0.5000  8 O 2.38-2.40
Cd: 0.0000 0.0000 0.0000  8 O 2.37-2.50
Mo: 0.5000 0.5000 0.0000  4 O 1.89
Mo: 0.2500 0.7500 0.5000  4 O 1.81
O: 0.7543 0.8453 0.1739  1 Mo 1.89
O: 0.4196 0.3286 0.1739  1 Mo 1.89
O: 0.5724 0.6595 0.6660  1 Mo 1.81
O: 0.0936 0.0066 0.6660  1 Mo 1.81
O: 0.9934 0.4276 0.3340  1 Mo 1.81
O: 0.3405 0.9064 0.3340  1 Mo 1.81
O: 0.1547 0.5804 0.8261  1 Mo 1.89
O: 0.6714 0.2457 0.8261  1 Mo 1.89

Properties
E: -7.06 eV/atom
Theoretical density: 5.57 g/cm3